1.
{"formula": "Li4Zn2Au3", "functional": "GGA-PBE", "state": "optimized geometry", "lattice_angstrom": [[3.820, 0.000, 0.000], [0.000, 6.350, 0.414], [-1.910, -2.504, 5.556]], "species": ["Zn", "Zn", "Au", "Au", "Au", "Li", "Li", "Li", "Li"], "fractional_positions": [[0.335, 0.997, 0.670], [0.665, 0.003, 0.330], [0.000, 0.000, 0.000], [0.878, 0.333, 0.756], [0.122, 0.667, 0.244], [0.546, 0.333, 0.092], [0.454, 0.667, 0.908], [0.219, 0.332, 0.438], [0.781, 0.668, 0.562]], "spacegroup": "No. 12", "vol_a3_per_cell": 139}

***

2.
{"formula": "PrHg4Pb", "functional": "GGA-PBE", "state": "optimized geometry", "lattice_angstrom": [[-1.683, 0.645, -4.450], [-4.178, 1.399, 1.783], [0.149, 7.253, 0.995]], "species": ["Hg", "Hg", "Hg", "Hg", "Pb", "Pr"], "fractional_positions": [[0.000, 0.329, 0.341], [0.500, 0.173, 0.655], [0.000, 0.671, 0.659], [0.500, 0.827, 0.345], [0.000, 0.000, 0.000], [0.500, 0.500, 0.000]], "spacegroup": "No. 65", "vol_a3_per_cell": 158}

***

3.
{"formula": "PmDy4Au4", "functional": "GGA-PBE", "state": "optimized geometry", "lattice_angstrom": [[5.948, 0.000, 0.000], [0.000, 9.272, 0.000], [0.000, 0.000, 9.272]], "species": ["Pm", "Pm", "Au", "Au", "Au", "Au", "Au", "Au", "Au", "Au", "Dy", "Dy", "Dy", "Dy", "Dy", "Dy", "Dy", "Dy"], "fractional_positions": [[0.500, 0.500, 0.500], [0.000, 0.000, 0.000], [0.590, 0.212, 0.625], [0.090, 0.125, 0.288], [0.090, 0.875, 0.712], [0.590, 0.788, 0.375], [0.410, 0.625, 0.788], [0.910, 0.712, 0.125], [0.910, 0.288, 0.875], [0.410, 0.375, 0.212], [0.415, 0.677, 0.096], [0.085, 0.177, 0.596], [0.085, 0.823, 0.404], [0.915, 0.404, 0.177], [0.585, 0.904, 0.677], [0.585, 0.096, 0.323], [0.415, 0.323, 0.904], [0.915, 0.596, 0.823]], "spacegroup": "No. 86", "vol_a3_per_cell": 511}

***

4.
{"formula": "K2NaCd10", "functional": "GGA-PBE", "state": "optimized geometry", "lattice_angstrom": [[-2.845, -1.976, -6.235], [4.908, -3.247, -1.210], [-8.568, -16.340, 9.089]], "species": ["Cd", "Cd", "Cd", "Cd", "Cd", "Cd", "Cd", "Cd", "Cd", "Cd", "Cd", "Cd", "Cd", "Cd", "Cd", "Cd", "Cd", "Cd", "Cd", "Cd", "Na", "Na", "K", "K", "K", "K"], "fractional_positions": [[0.699, 0.302, 0.612], [0.000, 0.007, 0.432], [0.301, 0.698, 0.388], [0.000, 0.993, 0.568], [0.699, 0.198, 0.112], [0.000, 0.891, 0.153], [0.000, 0.109, 0.847], [0.000, 0.493, 0.932], [0.699, 0.802, 0.888], [0.301, 0.198, 0.112], [0.000, 0.507, 0.068], [0.000, 0.895, 0.291], [0.000, 0.395, 0.209], [0.301, 0.302, 0.612], [0.699, 0.698, 0.388], [0.301, 0.802, 0.888], [0.000, 0.391, 0.347], [0.000, 0.605, 0.791], [0.000, 0.105, 0.709], [0.000, 0.609, 0.653], [0.000, 0.000, 0.000], [0.000, 0.500, 0.500], [0.500, 0.304, 0.820], [0.500, 0.804, 0.680], [0.500, 0.196, 0.320], [0.500, 0.696, 0.180]], "spacegroup": "No. 55", "vol_a3_per_cell": 881}

***

Number 1: total DFT energy (no corrections) -23.92 eV per cell, magnetic moment 0.00 μB per formula unit, DFT formation energy -42 kJ/mol of atoms. Number 2: total DFT energy (no corrections) -11.24 eV per cell, magnetic moment 0.00 μB per formula unit, DFT formation energy -25 kJ/mol of atoms. Number 3: total DFT energy (no corrections) -83.52 eV per cell, magnetic moment 0.00 μB per formula unit, DFT formation energy -59 kJ/mol of atoms. Number 4: total DFT energy (no corrections) -24.47 eV per cell, magnetic moment 0.00 μB per formula unit, DFT formation energy 3 kJ/mol of atoms.